No. 1
# Rb2LaNb

Crystalline Rb2LaNb at its relaxed geometry (PBE-GGA, Alexandria).

Computed properties:
Its space-group type is I-42d, No. 122. The value obtained for the density of states at the Fermi level is 1.4510 states/eV per atom. The excess energy over the best structure of this formula in the dataset comes out at 0.0 kJ per mole of atoms. As for the total magnetization: 2.45 μB/f.u. The crystal system is tetragonal. Its energy of formation from the pure elements is 4.8 eV per formula unit.

a b c (Å): 9.9446 9.9446 9.9446
angles (deg): 94.06 94.06 149.15
Element x y z (fractional)
Rb1 0.3750 0.2372 0.3622
Rb2 0.7628 0.1250 0.1378
Rb3 0.8750 0.0128 0.6378
Rb4 0.9872 0.6250 0.8622
La1 0.2500 0.7500 0.5000
La2 0.5000 0.5000 0.0000
Nb1 0.0000 0.0000 0.0000
Nb2 0.7500 0.2500 0.5000

---

No. 2
# PmPrEr2Tl4

Crystalline PmPrEr2Tl4 at its relaxed geometry (PBE-GGA, Alexandria).

Computed properties:
Its space-group type is R-3m, No. 166. The value obtained for the density of states at the Fermi level is 0.7751 states/eV per atom. As for the total magnetization: 0.00 μB/f.u. The crystal system is trigonal. Its energy of formation from the pure elements is -2.8 eV per formula unit.

a b c (Å): 9.4211 9.4211 9.4211
angles (deg): 33.48 33.48 33.48
Element x y z (fractional)
Pm1 0.0000 0.0000 0.0000
Pr1 0.5000 0.5000 0.5000
Er1 0.2501 0.2501 0.2501
Er2 0.7499 0.7499 0.7499
Tl1 0.1242 0.1242 0.1242
Tl2 0.3743 0.3743 0.3743
Tl3 0.6257 0.6257 0.6257
Tl4 0.8758 0.8758 0.8758

---

No. 3
# AgMo2Pb

Crystalline AgMo2Pb at its relaxed geometry (PBE-GGA, Alexandria).

Computed properties:
Its space-group type is R-3m, No. 166. The value obtained for the density of states at the Fermi level is 1.0338 states/eV per atom. As for the total magnetization: 0.00 μB/f.u. The crystal system is trigonal. Its energy of formation from the pure elements is 3.5 eV per formula unit.

a b c (Å): 9.7553 9.7553 9.7553
angles (deg): 17.65 17.65 17.65
Element x y z (fractional)
Ag1 0.0000 0.0000 0.0000
Mo1 0.2521 0.2521 0.2521
Mo2 0.7479 0.7479 0.7479
Pb1 0.5000 0.5000 0.5000